The following is a DFT calculation (PBE) of crystalline LiBiPt2 at its relaxed geometry.

* final energy: -4.89 eV per atom
* total magnetic moment: 0.002 μB per formula unit

a = 5.0062 Å, b = 5.0062 Å, c = 5.0062 Å
α = 130.95°, β = 130.95°, γ = 71.89°
Last column: nearest neighbours and their distance in Å.
Positions (direct):
Pt 0.2500 0.7500 0.5000  4 Bi 2.90, 4 Li 2.90, 4 Pt 2.94
Pt 0.7500 0.2500 0.5000  4 Bi 2.90, 4 Li 2.90, 4 Pt 2.94
Li 0.0000 0.0000 0.0000  8 Pt 2.90, 4 Bi 2.94
Bi 0.5000 0.5000 0.0000  8 Pt 2.90, 4 Li 2.94

---

The following is a DFT calculation (PBE) of crystalline Li4BiSbPt2 at its relaxed geometry.

* final energy: -4.10 eV per atom
* total magnetic moment: 0.007 μB per formula unit

a = 4.5223 Å, b = 4.5223 Å, c = 6.4673 Å
α = 90.00°, β = 90.00°, γ = 90.00°
Last column: nearest neighbours and their distance in Å.
Positions (direct):
Li 0.0000 0.0000 0.0000  4 Li 2.83, 4 Pt 2.85
Li 0.5000 0.0000 0.2638  2 Sb 2.73, 4 Li 2.73-2.83, 2 Bi 2.83, 1 Pt 3.02
Li 0.0000 0.5000 0.7362  4 Li 2.73-2.83, 2 Sb 2.73, 2 Bi 2.83, 1 Pt 3.02
Li 0.5000 0.5000 0.5000  4 Pt 2.71, 4 Li 2.73
Pt 0.5000 0.0000 0.7305  5 Li 2.71-3.02, 2 Sb 2.71, 2 Bi 2.85
Pt 0.0000 0.5000 0.2695  5 Li 2.71-3.02, 2 Sb 2.71, 2 Bi 2.85
Sb 0.0000 0.0000 0.5000  4 Pt 2.71, 4 Li 2.73
Bi 0.5000 0.5000 0.0000  4 Li 2.83, 4 Pt 2.85

---

The following is a DFT calculation (PBE) of crystalline Li4SiBiPt2 at its relaxed geometry.

* final energy: -4.27 eV per atom
* total magnetic moment: 0.009 μB per formula unit

a = 4.2378 Å, b = 4.2378 Å, c = 6.6924 Å
α = 90.00°, β = 90.00°, γ = 90.00°
Last column: nearest neighbours and their distance in Å.
Positions (direct):
Li 0.0000 0.0000 0.5000  4 Pt 2.51, 4 Li 2.56
Li 0.0000 0.5000 0.2851  4 Li 2.56-2.85, 2 Si 2.56, 1 Pt 2.78, 2 Bi 2.85
Li 0.5000 0.5000 0.0000  4 Li 2.85, 4 Pt 2.92, 4 Bi 3.00
Li 0.5000 0.0000 0.7149  2 Si 2.56, 4 Li 2.56-2.85, 1 Pt 2.78, 2 Bi 2.85
Pt 0.0000 0.5000 0.7003  2 Si 2.51, 3 Li 2.51-2.78
Pt 0.5000 0.0000 0.2997  3 Li 2.51-2.78, 2 Si 2.51
Si 0.5000 0.5000 0.5000  4 Pt 2.51, 4 Li 2.56
Bi 0.0000 0.0000 0.0000  8 Li 2.85-3.00, 4 Pt 2.92

---

The following is a DFT calculation (PBE) of crystalline SrLiBiPt at its relaxed geometry.

* final energy: -4.01 eV per atom
* total magnetic moment: 0.000 μB per formula unit

a = 5.0361 Å, b = 5.0361 Å, c = 5.0361 Å
α = 60.00°, β = 60.00°, γ = 60.00°
Last column: nearest neighbours and their distance in Å.
Positions (direct):
Sr 0.0000 0.0000 0.0000  4 Pt 3.08, 4 Li 3.08
Li 0.7500 0.7500 0.7500  4 Bi 3.08, 4 Sr 3.08
Bi 0.5000 0.5000 0.5000  4 Li 3.08, 4 Pt 3.08
Pt 0.2500 0.2500 0.2500  4 Sr 3.08, 4 Bi 3.08

---

The following is a DFT calculation (PBE) of crystalline SrLiBiPt at its relaxed geometry.

* final energy: -3.87 eV per atom
* total magnetic moment: 0.000 μB per formula unit

a = 5.0450 Å, b = 5.0450 Å, c = 5.0450 Å
α = 60.00°, β = 60.00°, γ = 60.00°
Last column: nearest neighbours and their distance in Å.
Positions (direct):
Pt 0.5000 0.5000 0.5000  4 Bi 3.09, 4 Li 3.09
Bi 0.2500 0.2500 0.2500  4 Pt 3.09, 4 Sr 3.09
Li 0.7500 0.7500 0.7500  4 Sr 3.09, 4 Pt 3.09
Sr 0.0000 0.0000 0.0000  4 Li 3.09, 4 Bi 3.09

---

The following is a DFT calculation (PBE) of crystalline SrLiBiPt at its relaxed geometry.

* final energy: -3.80 eV per atom
* total magnetic moment: 0.002 μB per formula unit

a = 5.1631 Å, b = 5.1631 Å, c = 5.1631 Å
α = 60.00°, β = 60.00°, γ = 60.00°
Last column: nearest neighbours and their distance in Å.
Positions (direct):
Bi 0.0000 0.0000 0.0000  4 Li 3.16, 4 Sr 3.16
Sr 0.2500 0.2500 0.2500  4 Pt 3.16, 4 Bi 3.16
Pt 0.5000 0.5000 0.5000  4 Li 3.16, 4 Sr 3.16
Li 0.7500 0.7500 0.7500  4 Pt 3.16, 4 Bi 3.16

---

The following is a DFT calculation (PBE) of crystalline Li4ZnBiPt2 at its relaxed geometry.

* final energy: -3.65 eV per atom
* total magnetic moment: 0.009 μB per formula unit

a = 4.4242 Å, b = 4.4242 Å, c = 6.3682 Å
α = 90.00°, β = 90.00°, γ = 90.00°
Last column: nearest neighbours and their distance in Å.
Positions (direct):
Li 0.0000 0.0000 0.5000  4 Li 2.59, 4 Pt 2.64
Li 0.5000 0.5000 0.0000  4 Pt 2.82, 4 Li 2.87, 4 Bi 3.13
Li 0.0000 0.5000 0.2879  2 Zn 2.59, 4 Li 2.59-2.87, 1 Pt 2.79, 2 Bi 2.87
Li 0.5000 0.0000 0.7121  2 Zn 2.59, 4 Li 2.59-2.87, 1 Pt 2.79, 2 Bi 2.87
Zn 0.5000 0.5000 0.5000  4 Li 2.59, 4 Pt 2.64
Pt 0.5000 0.0000 0.2734  2 Zn 2.64, 5 Li 2.64-2.82, 2 Bi 2.82
Pt 0.0000 0.5000 0.7266  2 Zn 2.64, 5 Li 2.64-2.82, 2 Bi 2.82
Bi 0.0000 0.0000 0.0000  4 Pt 2.82, 8 Li 2.87-3.13

---

The following is a DFT calculation (PBE) of crystalline LiRe2Bi at its relaxed geometry.

* final energy: -7.10 eV per atom
* total magnetic moment: 0.733 μB per formula unit

a = 4.5350 Å, b = 4.5350 Å, c = 4.5350 Å
α = 60.00°, β = 60.00°, γ = 60.00°
Last column: nearest neighbours and their distance in Å.
Positions (direct):
Re 0.0000 0.0000 0.0000  4 Re 2.78, 4 Li 2.78
Re 0.7500 0.7500 0.7500  4 Re 2.78, 4 Bi 2.78
Li 0.2500 0.2500 0.2500  4 Bi 2.78, 4 Re 2.78
Bi 0.5000 0.5000 0.5000  4 Li 2.78, 4 Re 2.78